# 1
The following is a PBE calculation of a relaxed Zr2TcPdC crystal, from the Alexandria database.

**Calculated volume**: 16.60 Å³/atom
**ΔE_f**: -0.46 eV per atom
**DOS at the Fermi energy**: 2.872 states/eV/f.u.

```
Zr2TcPdC
1.0
-0.093 -4.390 -1.340
2.337 -1.198 3.765
-3.390 -0.520 1.939
C Zr Tc Pd
1 2 1 1
Direct
0.000 0.000 0.000
0.500 0.000 0.000
0.000 0.500 0.000
0.000 0.000 0.500
0.500 0.500 0.500
```

---

# 2
The following is a PBE calculation of a relaxed EuAgSn crystal, from the Alexandria database.

**Calculated volume**: 30.17 Å³/atom
**ΔE_f**: 0.24 eV per atom
**DOS at the Fermi energy**: 2.254 states/eV/f.u.

```
EuAgSn
1.0
-1.842 -1.095 -2.543
-2.153 -1.354 2.143
-2.287 8.199 0.301
Eu Sn Ag
1 1 1
Direct
0.946 0.946 0.892
0.147 0.147 0.293
0.757 0.757 0.515
```

---

# 3
The following is a PBE calculation of a relaxed BaTa2Br crystal, from the Alexandria database.

**Calculated volume**: 26.00 Å³/atom
**DOS at the Fermi energy**: 3.118 states/eV/f.u.
**Formation energy without anion corrections**: 0.572 eV per atom

```
BaTa2Br
1.0
-2.511 -3.327 -5.537
-4.634 -3.967 -3.289
-3.673 2.814 -2.667
Ta Br Ba
2 1 1
Direct
0.973 0.973 0.976
0.527 0.527 0.524
0.250 0.250 0.250
0.750 0.750 0.750
```

---

# 4
The following is a PBE calculation of a relaxed Tl2Zn crystal, from the Alexandria database.

**Calculated volume**: 26.44 Å³/atom
**ΔE_f**: 0.11 eV per atom
**DOS at the Fermi energy**: 1.291 states/eV/f.u.

```
Tl2Zn
1.0
4.649 0.000 0.000
0.000 7.735 0.000
0.000 0.000 8.825
Zn Tl
4 8
Direct
0.750 0.255 0.619
0.250 0.245 0.119
0.250 0.745 0.381
0.750 0.755 0.881
0.750 0.475 0.323
0.750 0.848 0.563
0.250 0.652 0.063
0.250 0.152 0.437
0.250 0.025 0.823
0.750 0.348 0.937
0.750 0.975 0.177
0.250 0.525 0.677
```